Entry 1:
First-principles (PBE-GGA) data for a relaxed CaPaHg2 crystal, as listed in Alexandria.

a b c (Å): 5.313 5.313 5.313
angles (deg): 60.00 60.00 60.00
Positions (direct):
Ca  0.000  0.000  0.000
Pa  0.500  0.500  0.500
Hg  0.250  0.250  0.250
Hg  0.750  0.750  0.750

## Properties
ΔE_f: -65 meV per atom
Space group: Fm-3m (225)
ΔE to the lowest computed polymorph: 93 meV per atom

=====

Entry 2:
First-principles (PBE-GGA) data for a relaxed Pm2CdCl crystal, as listed in Alexandria.

a b c (Å): 4.136 4.136 7.777
angles (deg): 74.58 74.58 60.00
Positions (direct):
Cl  0.000  0.000  0.000
Cd  0.500  0.500  0.500
Pm  0.260  0.260  0.219
Pm  0.740  0.740  0.781

## Properties
Formation energy without anion corrections: -0.773 eV/atom
Space group: R-3m (166)

=====

Entry 3:
First-principles (PBE-GGA) data for a relaxed Tb9Tm4Pu crystal, as listed in Alexandria.

a b c (Å): 11.030 9.660 9.660
angles (deg): 120.00 90.00 90.00
Positions (direct):
Tb  0.033  0.791  0.582
Tb  0.033  0.791  0.209
Tb  0.033  0.418  0.209
Tb  0.967  0.209  0.418
Tb  0.967  0.209  0.791
Tb  0.967  0.582  0.791
Tb  0.533  0.209  0.418
Tb  0.533  0.209  0.791
Tb  0.533  0.582  0.791
Tb  0.467  0.791  0.582
Tb  0.467  0.791  0.209
Tb  0.467  0.418  0.209
Tb  0.250  0.463  0.927
Tb  0.250  0.463  0.537
Tb  0.250  0.073  0.537
Tb  0.750  0.537  0.073
Tb  0.750  0.537  0.463
Tb  0.750  0.927  0.463
Tm  0.250  0.111  0.223
Tm  0.250  0.111  0.889
Tm  0.250  0.777  0.889
Tm  0.750  0.889  0.777
Tm  0.750  0.889  0.111
Tm  0.750  0.223  0.111
Tm  0.000  0.000  0.000
Tm  0.500  0.000  0.000
Pu  0.250  0.667  0.333
Pu  0.750  0.333  0.667

## Properties
ΔE_f: 174 meV per atom
Space group: P6_3/mmc (194)

=====

Entry 4:
First-principles (PBE-GGA) data for a relaxed SrSc2Te crystal, as listed in Alexandria.

a b c (Å): 6.435 6.435 6.435
angles (deg): 138.33 138.33 60.41
Positions (direct):
Sc  0.000  0.000  0.000
Sc  0.500  0.500  0.000
Sr  0.250  0.750  0.500
Te  0.750  0.250  0.500

## Properties
Formation energy without anion corrections: -0.257 eV/atom
Space group: I4/mmm (139)

=====

Entry 5:
First-principles (PBE-GGA) data for a relaxed Ac5ThRu4 crystal, as listed in Alexandria.

a b c (Å): 4.238 8.184 9.357
angles (deg): 104.45 103.09 90.00
Positions (direct):
Ac  0.163  0.332  0.327
Ac  0.167  0.847  0.334
Ac  0.833  0.153  0.666
Ac  0.500  0.500  0.000
Ac  0.837  0.668  0.673
Th  0.500  0.000  0.000
Ru  0.671  0.112  0.342
Ru  0.994  0.240  0.988
Ru  0.329  0.888  0.658
Ru  0.006  0.760  0.012

## Properties
ΔE_f: -151 meV per atom
Space group: C2/m (12)

=====

Entry 6:
First-principles (PBE-GGA) data for a relaxed GaBiF3 crystal, as listed in Alexandria.

a b c (Å): 4.305 4.305 4.305
angles (deg): 90.00 90.00 90.00
Positions (direct):
Bi  0.500  0.500  0.500
Ga  0.000  0.000  0.000
F  0.000  0.500  0.000
F  0.000  0.000  0.500
F  0.500  0.000  0.000

## Properties
Formation energy without anion corrections: -1.404 eV/atom
Space group: Pm-3m (221)
ΔE to the lowest computed polymorph: 187 meV per atom

=====

Entry 7:
First-principles (PBE-GGA) data for a relaxed LiPtRhCl2 crystal, as listed in Alexandria.

a b c (Å): 4.632 4.757 4.632
angles (deg): 90.00 90.00 90.00
Positions (direct):
Li  0.000  0.500  0.000
Rh  0.000  0.000  0.000
Pt  0.500  0.500  0.500
Cl  0.000  0.000  0.500
Cl  0.500  0.000  0.000

## Properties
Formation energy without anion corrections: 0.473 eV/atom
Space group: P4/mmm (123)

=====

Entry 8:
First-principles (PBE-GGA) data for a relaxed CaTlO3 crystal, as listed in Alexandria.

a b c (Å): 4.185 4.185 4.185
angles (deg): 90.00 90.00 90.00
Positions (direct):
Tl  0.000  0.000  0.000
Ca  0.500  0.500  0.500
O  0.000  0.500  0.000
O  0.000  0.000  0.500
O  0.500  0.000  0.000

## Properties
Formation energy without anion corrections: -1.046 eV/atom
Space group: Pm-3m (221)

=====

Number 1: total magnetization 0.32 μB/atom, Fermi-level density of states 7.19 states/eV/cell. Number 2: total magnetization 0.00 μB/atom, Fermi-level density of states 3.06 states/eV/cell. Number 3: total magnetization 0.37 μB/atom, Fermi-level density of states 47.48 states/eV/cell. Number 4: total magnetization 0.35 μB/atom, Fermi-level density of states 4.55 states/eV/cell. Number 5: total magnetization 0.00 μB/atom, Fermi-level density of states 6.50 states/eV/cell. Number 6: total magnetization 0.00 μB/atom, Fermi-level density of states 5.06 states/eV/cell. Number 7: total magnetization 0.08 μB/atom, Fermi-level density of states 7.24 states/eV/cell. Number 8: total magnetization 0.00 μB/atom, Fermi-level density of states 1.32 states/eV/cell.